(1)
## LiMg15 (GGA-PBE)

Data for a relaxed LiMg15 crystal.

Cell: 6.3292 6.3292 10.4622 Å, 90.00 90.00 120.00°
With the nearest neighbours (Å) after each atom.
Positions (direct):
Li  0.0000  0.0000  0.0000  12 Mg 3.16-3.17
Mg  0.0000  0.0000  0.5000  12 Mg 3.16-3.20
Mg  0.9997  0.4999  0.0000  10 Mg 3.16-3.18, 2 Li 3.16
Mg  0.0002  0.5001  0.5000  12 Mg 3.16-3.21
Mg  0.1660  0.3319  0.2480  11 Mg 3.15-3.21, 1 Li 3.17
Mg  0.1660  0.3319  0.7520  11 Mg 3.15-3.21, 1 Li 3.17
Mg  0.1660  0.8340  0.2480  11 Mg 3.15-3.21, 1 Li 3.17
Mg  0.1660  0.8340  0.7520  11 Mg 3.15-3.21, 1 Li 3.17
Mg  0.5001  0.0003  0.0000  10 Mg 3.16-3.18, 2 Li 3.16
Mg  0.4999  0.9998  0.5000  12 Mg 3.16-3.21
Mg  0.5001  0.4999  0.0000  10 Mg 3.16-3.18, 2 Li 3.16
Mg  0.4999  0.5001  0.5000  12 Mg 3.16-3.21
Mg  0.6667  0.3333  0.2493  12 Mg 3.16-3.20
Mg  0.6667  0.3333  0.7507  12 Mg 3.16-3.20
Mg  0.6681  0.8340  0.2480  11 Mg 3.15-3.21, 1 Li 3.17
Mg  0.6681  0.8340  0.7520  11 Mg 3.15-3.21, 1 Li 3.17

(2)
## LiMg2 (GGA-PBE)

Data for a relaxed LiMg2 crystal.

Cell: 7.6603 7.6603 5.0818 Å, 90.00 90.00 154.32°
With the nearest neighbours (Å) after each atom.
Positions (direct):
Li  0.2502  0.7498  0.7500  4 Mg 2.96, 4 Li 3.06
Li  0.7498  0.2502  0.2500  4 Mg 2.96, 4 Li 3.06
Mg  0.0873  0.9127  0.2500  2 Li 2.96, 6 Mg 3.06-3.12
Mg  0.4122  0.5878  0.2500  2 Li 2.96, 6 Mg 3.06-3.12
Mg  0.5878  0.4122  0.7500  2 Li 2.96, 6 Mg 3.06-3.12
Mg  0.9127  0.0873  0.7500  2 Li 2.96, 6 Mg 3.06-3.12

(3)
## Li4Mg7 (GGA-PBE)

Data for a relaxed Li4Mg7 crystal.

Cell: 7.9653 7.9653 4.5072 Å, 90.00 90.00 120.00°
With the nearest neighbours (Å) after each atom.
Positions (direct):
Li  0.0000  0.0000  0.0000  9 Mg 2.75-2.92
Li  0.0812  0.5406  0.5000  6 Mg 2.80-2.88, 2 Li 3.01
Li  0.4594  0.5406  0.5000  6 Mg 2.80-2.88, 2 Li 3.01
Li  0.4594  0.9188  0.5000  6 Mg 2.80-2.88, 2 Li 3.01
Mg  0.1991  0.3982  0.0000  5 Li 2.75-2.88
Mg  0.1991  0.8009  0.0000  5 Li 2.75-2.88
Mg  0.2691  0.1346  0.5000  4 Li 2.80-2.92
Mg  0.6018  0.8009  0.0000  5 Li 2.75-2.88
Mg  0.6667  0.3333  0.0000  6 Mg 3.55, 6 Li 3.64
Mg  0.8654  0.1346  0.5000  4 Li 2.80-2.92
Mg  0.8654  0.7309  0.5000  4 Li 2.80-2.92

Calculated total energy (computed, eV per atom): -1.630 -1.723 -1.587
Calculated formation energy (computed, eV per atom): -0.015 -0.022 0.124